Entry 1:
Below is a relaxed structure of IrPb3I, with properties calculated at the PBE level.

Properties
symmetry: Pm-3m
offset from the most stable computed form: 0.0000 eV/atom
ΔE_f (raw): 94.1 meV/atom

Cell and atoms, written as extended XYZ:
```
5
Lattice="5.4361 0.0000 0.0000 0.0000 5.4361 0.0000 0.0000 0.0000 5.4361" Properties=species:S:1:pos:R:3 pbc="T T T"
Ir 0.0000 0.0000 0.0000
Pb 0.0000 0.0000 2.7180
Pb 0.0000 2.7180 0.0000
Pb 2.7180 0.0000 0.0000
I 2.7180 2.7180 2.7180
```



Entry 2:
Below is a relaxed structure of LiGaSi, with properties calculated at the PBE level.

Properties
symmetry: P4/nmm
ΔE_f (raw): -66.8 meV/atom

Cell and atoms, written as extended XYZ:
```
6
Lattice="3.8301 0.0000 0.0000 0.0000 3.8301 0.0000 0.0000 0.0000 6.5222" Properties=species:S:1:pos:R:3 pbc="T T T"
Li 0.9575 2.8726 0.0000
Li 2.8726 0.9575 0.0000
Ga 0.9575 0.9575 2.2031
Ga 2.8726 2.8726 4.3191
Si 0.9575 0.9575 4.6918
Si 2.8726 2.8726 1.8304
```



Entry 3:
Below is a relaxed structure of Sm4DyZn2, with properties calculated at the PBE level.

Properties
symmetry: R-3m
energy relative to the elements: 0.15 eV/atom

Cell and atoms, written as extended XYZ:
```
7
Lattice="2.5362 1.4643 9.8131 -2.5362 1.4643 9.8131 0.0000 -2.9285 9.8131" Properties=species:S:1:pos:R:3 pbc="T T T"
Sm 0.0000 0.0000 3.0017
Sm 0.0000 0.0000 8.7466
Sm 0.0000 0.0000 20.6926
Sm 0.0000 0.0000 26.4375
Dy 0.0000 0.0000 14.7196
Zn 0.0000 0.0000 11.7921
Zn 0.0000 0.0000 17.6471
```



Entry 4:
Below is a relaxed structure of ThIrS2, with properties calculated at the PBE level.

Properties
symmetry: R-3m
ΔE_f (raw): -352.7 meV/atom

Cell and atoms, written as extended XYZ:
```
4
Lattice="1.8226 1.0523 7.9902 -1.8226 1.0523 7.9902 0.0000 -2.1045 7.9902" Properties=species:S:1:pos:R:3 pbc="T T T"
Th 0.0000 0.0000 0.0000
Ir 0.0000 0.0000 11.9853
S 0.0000 0.0000 2.8433
S 0.0000 0.0000 21.1273
```



no.,electronic total energy (eV per atom)
1,-4.213
2,-3.521
3,-3.570
4,-6.487